A crystal of KSn2Au2 relaxed with PBEsol, computed with meta-GGA SCAN.

Cell: 4.796 4.796 11.080 Å, 90.00 90.00 90.00°
Space group I4/mmm (No. 139)
One atom of each set of equivalent atoms:
K: 0.000 0.000 0.000 x2
Sn: 0.000 0.500 0.250 x4
Au: 0.000 0.000 0.376 x4

Computed properties:
- energy of formation (eV/atom) = -0.3321
- magnetization (μB/cell) = 0.0